A relaxed structure of FeCu2C6N6, computed with GGA-PBE.

Output
Formation energy without anion corrections (meV/atom): 686
Crystal system: cubic

Geometry as CIF:
```
data_FeCu2C6N6
_space_group_name_H-M_alt 'F -4 3 m'
_space_group_IT_number 216
_space_group_name_Hall 'F -4 2 3'
_cell_length_a 10.1857
_cell_length_b 10.1857
_cell_length_c 10.1857
_cell_angle_alpha 90.00
_cell_angle_beta 90.00
_cell_angle_gamma 90.00
loop_
_atom_site_label
_atom_site_type_symbol
_atom_site_fract_x
_atom_site_fract_y
_atom_site_fract_z
_atom_site_occupancy
Fe1 Fe 0.0000 0.0000 0.0000 1
Cu1 Cu 0.0000 0.0000 0.5000 1
Cu2 Cu 0.2500 0.2500 0.7500 1
C1 C 0.0000 0.0000 0.1849 1
N1 N 0.0000 0.0000 0.3002 1
```